Record 1
Entry from Alexandria via LeMat-Bulk: a geometry-optimized Sm2WO6 structure (GGA+U).

Output
Fermi-level density of states: 0.000 states/eV per atom
Symmetry: No. 14
Spin magnetization: 0.0 μB/f.u.
Excess energy over the best structure of this formula in the dataset: 65 meV per atom

Unit cell a=5.592 b=5.870 c=8.305 alpha=90.00 beta=95.90 gamma=90.00
Element x y z (fractional)
Sm1 0.959 0.426 0.766
Sm2 0.541 0.926 0.734
Sm3 0.459 0.074 0.266
Sm4 0.041 0.574 0.234
W1 0.500 0.500 0.000
W2 0.000 0.000 0.500
O1 0.834 0.901 0.296
O2 0.857 0.742 0.608
O3 0.780 0.677 0.952
O4 0.720 0.177 0.548
O5 0.643 0.242 0.892
O6 0.666 0.401 0.204
O7 0.166 0.099 0.704
O8 0.143 0.258 0.392
O9 0.220 0.323 0.048
O10 0.280 0.823 0.452
O11 0.357 0.758 0.108
O12 0.334 0.599 0.796



Record 2
Entry from Alexandria via LeMat-Bulk: a geometry-optimized SmWO4 structure (GGA+U).

Output
Total DFT energy (no corrections): -47.55 eV per formula unit
Fermi-level density of states: 0.000 states/eV per atom
Symmetry: No. 65
Spin magnetization: 1.0 μB/f.u.

Unit cell a=3.373 b=5.036 c=5.036 alpha=88.25 beta=90.00 gamma=90.00
Element x y z (fractional)
Sm1 0.000 0.500 0.500
W1 0.500 0.000 0.000
O1 0.500 0.275 0.725
O2 0.000 0.826 0.826
O3 0.000 0.174 0.174
O4 0.500 0.725 0.275



Record 3
Entry from Alexandria via LeMat-Bulk: a geometry-optimized Sm5W2O12 structure (GGA+U).

Output
Total DFT energy (no corrections): -154.23 eV per formula unit
Symmetry: No. 12
Spin magnetization: 1.0 μB/f.u.

Unit cell a=5.866 b=6.996 c=7.784 alpha=106.29 beta=90.00 gamma=114.79
Element x y z (fractional)
Sm1 0.305 0.611 0.640
Sm2 0.313 0.625 0.175
Sm3 0.000 0.000 0.500
Sm4 0.687 0.375 0.825
Sm5 0.695 0.389 0.360
W1 0.782 0.000 0.000
W2 0.218 0.000 0.000
O1 0.000 0.999 0.204
O2 0.092 0.676 0.918
O3 0.584 0.676 0.918
O4 0.097 0.689 0.424
O5 0.592 0.689 0.424
O6 0.500 0.000 0.825
O7 0.500 0.000 0.175
O8 0.903 0.311 0.576
O9 0.408 0.311 0.576
O10 0.908 0.324 0.082
O11 0.416 0.324 0.082
O12 0.000 0.001 0.796



Record 4
Entry from Alexandria via LeMat-Bulk: a geometry-optimized Sm2WO6 structure (GGA+U).

Output
Fermi-level density of states: 0.000 states/eV per atom
Symmetry: No. 15
Spin magnetization: 0.0 μB/f.u.
Excess energy over the best structure of this formula in the dataset: 31 meV per atom

Unit cell a=9.873 b=9.873 c=5.544 alpha=77.53 beta=77.53 gamma=70.14
Element x y z (fractional)
Sm1 0.937 0.713 0.390
Sm2 0.713 0.937 0.890
Sm3 0.379 0.621 0.250
Sm4 0.891 0.109 0.250
Sm5 0.109 0.891 0.750
Sm6 0.621 0.379 0.750
Sm7 0.287 0.063 0.110
Sm8 0.063 0.287 0.610
W1 0.820 0.496 0.083
W2 0.496 0.820 0.583
W3 0.504 0.180 0.417
W4 0.180 0.504 0.917
O1 0.897 0.921 0.081
O2 0.921 0.897 0.581
O3 0.533 0.964 0.284
O4 0.779 0.687 0.144
O5 0.964 0.533 0.784
O6 0.687 0.779 0.644
O7 0.814 0.380 0.401
O8 0.380 0.814 0.901
O9 0.627 0.535 0.032
O10 0.321 0.852 0.422
O11 0.535 0.627 0.532
O12 0.852 0.321 0.922
O13 0.148 0.679 0.078
O14 0.465 0.373 0.468
O15 0.679 0.148 0.578
O16 0.373 0.465 0.968
O17 0.620 0.186 0.099
O18 0.186 0.620 0.599
O19 0.313 0.221 0.356
O20 0.036 0.467 0.216
O21 0.221 0.313 0.856
O22 0.467 0.036 0.716
O23 0.079 0.103 0.419
O24 0.103 0.079 0.919



Record 5
Entry from Alexandria via LeMat-Bulk: a geometry-optimized Sm2W3O12 structure (GGA+U).

Output
Fermi-level density of states: 0.000 states/eV per atom
Symmetry: No. 15
Spin magnetization: 0.0 μB/f.u.
Excess energy over the best structure of this formula in the dataset: 5 meV per atom

Unit cell a=7.028 b=7.028 c=11.663 alpha=78.76 beta=78.76 gamma=111.78
Element x y z (fractional)
O1 0.658 0.806 0.802
O2 0.402 0.989 0.718
O3 0.028 0.947 0.893
O4 0.670 0.603 0.560
O5 0.226 0.624 0.960
O6 0.898 0.323 0.573
O7 0.806 0.658 0.302
O8 0.677 0.102 0.927
O9 0.376 0.774 0.540
O10 0.397 0.330 0.940
O11 0.053 0.972 0.607
O12 0.989 0.402 0.218
O13 0.011 0.598 0.782
O14 0.947 0.028 0.393
O15 0.603 0.670 0.060
O16 0.624 0.226 0.460
O17 0.323 0.898 0.073
O18 0.194 0.342 0.698
O19 0.102 0.677 0.427
O20 0.774 0.376 0.040
O21 0.330 0.397 0.440
O22 0.972 0.053 0.107
O23 0.598 0.011 0.282
O24 0.342 0.194 0.198
W1 0.509 0.799 0.952
W2 0.799 0.509 0.452
W3 0.116 0.884 0.750
W4 0.884 0.116 0.250
W5 0.201 0.491 0.548
W6 0.491 0.201 0.048
Sm1 0.694 0.947 0.594
Sm2 0.947 0.694 0.094
Sm3 0.053 0.306 0.906
Sm4 0.306 0.053 0.406



Record 6
Entry from Alexandria via LeMat-Bulk: a geometry-optimized Sm2W3O12 structure (GGA+U).

Output
Fermi-level density of states: 0.000 states/eV per atom
Symmetry: No. 60
Spin magnetization: 0.0 μB/f.u.
Excess energy over the best structure of this formula in the dataset: 0 meV per atom

Unit cell a=10.374 b=10.443 c=14.591 alpha=90.00 beta=89.99 gamma=90.00
Element x y z (fractional)
Sm1 0.750 0.970 0.883
Sm2 0.750 0.030 0.383
Sm3 0.750 0.530 0.117
Sm4 0.750 0.470 0.617
Sm5 0.250 0.530 0.383
Sm6 0.250 0.470 0.883
Sm7 0.250 0.970 0.617
Sm8 0.250 0.030 0.117
W1 0.973 0.750 0.500
W2 0.887 0.610 0.858
W3 0.887 0.890 0.142
W4 0.613 0.390 0.358
W5 0.613 0.110 0.642
W6 0.527 0.250 0.000
W7 0.473 0.750 0.000
W8 0.387 0.890 0.358
W9 0.387 0.610 0.642
W10 0.113 0.110 0.858
W11 0.113 0.390 0.142
W12 0.027 0.250 0.500
O1 0.940 0.084 0.861
O2 0.925 0.340 0.578
O3 0.925 0.161 0.422
O4 0.940 0.416 0.139
O5 0.873 0.859 0.435
O6 0.855 0.780 0.845
O7 0.855 0.720 0.155
O8 0.873 0.641 0.565
O9 0.817 0.978 0.236
O10 0.817 0.522 0.764
O11 0.818 0.557 0.965
O12 0.818 0.944 0.035
O13 0.682 0.444 0.465
O14 0.682 0.057 0.535
O15 0.683 0.022 0.736
O16 0.683 0.478 0.264
O17 0.627 0.141 0.935
O18 0.645 0.220 0.345
O19 0.645 0.280 0.655
O20 0.627 0.359 0.065
O21 0.575 0.840 0.922
O22 0.560 0.916 0.361
O23 0.575 0.661 0.078
O24 0.560 0.584 0.639
O25 0.440 0.416 0.361
O26 0.425 0.339 0.922
O27 0.440 0.084 0.639
O28 0.425 0.160 0.078
O29 0.373 0.641 0.935
O30 0.355 0.720 0.345
O31 0.355 0.780 0.655
O32 0.373 0.859 0.065
O33 0.317 0.522 0.736
O34 0.317 0.978 0.264
O35 0.318 0.943 0.465
O36 0.318 0.556 0.535
O37 0.182 0.056 0.965
O38 0.182 0.443 0.035
O39 0.183 0.478 0.236
O40 0.183 0.022 0.764
O41 0.127 0.359 0.435
O42 0.145 0.280 0.845
O43 0.145 0.220 0.155
O44 0.127 0.141 0.565
O45 0.060 0.584 0.861
O46 0.075 0.839 0.578
O47 0.075 0.660 0.422
O48 0.060 0.916 0.139